(1)
VASP calculation (GGA-PBE) on a relaxed structure of LaGaBr2.

Geometry as POSCAR:
```
LaGaBr2
1.0
2.084 1.203 9.728
-2.084 1.203 9.728
0.000 -2.407 9.728
La Ga Br
1 1 2
Cartesian
0.000 0.000 0.000
0.000 0.000 14.591
0.000 0.000 2.924
0.000 0.000 26.259
```

Values from the calculation:
For the excess energy over the best structure of this formula in the dataset, the calculation gives 0.285 eV per atom. The calculation puts the formation energy from raw total energies at -0.723 eV/atom. Its magnetic moment is 0.0 μB/f.u. The calculation puts the mass density at 4.2 g/cm³. As for the symmetry: No. 166. The density of states at the Fermi level comes out at 2.138 states/eV/cell.



(2)
VASP calculation (GGA-PBE) on a relaxed structure of La4Ga2Br5.

Geometry as POSCAR:
```
La4Ga2Br5
1.0
12.258 -2.159 0.000
12.258 2.159 0.000
-1.201 0.000 8.518
La Ga Br
4 2 5
Cartesian
-0.103 0.000 2.361
7.667 0.000 4.594
15.647 0.000 3.923
23.417 0.000 6.157
10.463 0.000 3.986
12.852 0.000 4.532
3.020 0.000 1.834
4.596 0.000 5.713
12.258 0.000 0.000
18.719 0.000 2.805
20.294 0.000 6.684
```

Values from the calculation:
The calculation puts the formation energy from raw total energies at -1.317 eV/atom. Its magnetic moment is 0.0 μB/f.u. The calculation puts the mass density at 4.0 g/cm³. As for the symmetry: No. 12. The density of states at the Fermi level comes out at 3.714 states/eV/cell.



(3)
VASP calculation (GGA-PBE) on a relaxed structure of LaGaBr2.

Geometry as POSCAR:
```
LaGaBr2
1.0
1.909 1.102 10.478
-1.909 1.102 10.478
0.000 -2.205 10.478
La Ga Br
1 1 2
Cartesian
0.000 0.000 0.000
0.000 0.000 15.718
0.000 0.000 12.596
0.000 0.000 18.839
```

Values from the calculation:
For the excess energy over the best structure of this formula in the dataset, the calculation gives 0.000 eV per atom. The calculation puts the formation energy from raw total energies at -1.008 eV/atom. Its magnetic moment is 0.0 μB/f.u. The calculation puts the mass density at 4.6 g/cm³. As for the symmetry: No. 166. The density of states at the Fermi level comes out at 3.869 states/eV/cell.



(4)
VASP calculation (GGA-PBE) on a relaxed structure of La7GaBr12.

Geometry as POSCAR:
```
La7GaBr12
1.0
7.855 4.535 3.439
-7.855 4.535 3.439
0.000 -9.070 3.439
La Ga Br
7 1 12
Cartesian
0.000 0.000 0.000
-1.696 -1.701 3.450
-0.625 2.319 3.450
2.321 -0.618 3.450
-2.321 0.618 6.866
0.625 -2.319 6.866
1.696 1.701 6.866
0.000 0.000 5.158
-2.480 0.660 1.616
0.668 -2.478 1.616
-4.166 -1.094 5.141
-1.136 -4.155 5.174
1.812 1.817 1.616
-3.030 3.061 5.174
3.030 -3.061 5.141
-1.812 -1.817 8.700
1.136 4.155 5.141
4.166 1.094 5.174
-0.668 2.478 8.700
2.480 -0.660 8.700
```

Values from the calculation:
The calculation puts the formation energy from raw total energies at -1.693 eV/atom. Its magnetic moment is 0.0 μB/f.u. The calculation puts the mass density at 4.5 g/cm³. As for the symmetry: No. 148. The density of states at the Fermi level comes out at 12.257 states/eV/cell.